Compound: PrSm2HgN
Source: Alexandria via LeMat-Bulk
Functional: GGA-PBE
Structure: relaxed

Geometry as POSCAR:
```
PrSm2HgN
1.0
-4.113 -2.962 -0.184
1.731 -2.148 -4.099
2.315 -3.387 2.753
Pr Sm Hg N
1 2 1 1
Direct
0.500 0.000 0.000
0.000 0.000 0.500
0.000 0.500 0.000
0.500 0.500 0.500
0.000 0.000 0.000
```

Results
- energy (eV per atom) = -5.35
- symmetry = No. 123
- total magnetization (Bohr magnetons per cell) = 0.0
- energy relative to the elements, uncorrected (eV/atom) = -0.782

***

Compound: Cs2KPd4
Source: Alexandria via LeMat-Bulk
Functional: GGA-PBE
Structure: relaxed

Geometry as POSCAR:
```
Cs2KPd4
1.0
-3.925 3.111 2.057
-3.057 -0.972 -4.362
-6.818 -5.662 2.679
Cs K Pd
2 1 4
Direct
0.650 0.650 0.700
0.350 0.350 0.300
0.000 0.000 0.000
0.837 0.837 0.326
0.163 0.163 0.674
0.000 0.500 0.000
0.500 0.000 0.000
```

Results
- energy (eV per atom) = -2.57
- symmetry = No. 139
- total magnetization (Bohr magnetons per cell) = 0.0
- energy of formation (eV per atom) = 0.801

***

Compound: BeZnPb
Source: Alexandria via LeMat-Bulk
Functional: GGA-PBE
Structure: relaxed

Geometry as POSCAR:
```
BeZnPb
1.0
-0.598 2.487 2.781
-2.229 0.002 -3.050
-5.758 -6.096 4.221
Pb Be Zn
2 2 2
Direct
0.186 0.380 0.891
0.852 0.710 0.199
0.852 0.711 0.540
0.185 0.378 0.551
0.519 0.044 0.415
0.519 0.045 0.676
```

Results
- energy (eV per atom) = -2.71
- symmetry = No. 2
- total magnetization (Bohr magnetons per cell) = 0.0
- energy of formation (eV per atom) = 0.196

***

What did the first record say?
Compound: PrSm2HgN
Source: Alexandria via LeMat-Bulk
Functional: GGA-PBE
Structure: relaxed

Geometry as POSCAR:
```
PrSm2HgN
1.0
-4.113 -2.962 -0.184
1.731 -2.148 -4.099
2.315 -3.387 2.753
Pr Sm Hg N
1 2 1 1
Direct
0.500 0.000 0.000
0.000 0.000 0.500
0.000 0.500 0.000
0.500 0.500 0.500
0.000 0.000 0.000
```

Results
- energy (eV per atom) = -5.35
- symmetry = No. 123
- total magnetization (Bohr magnetons per cell) = 0.0
- energy relative to the elements, uncorrected (eV/atom) = -0.782

***

Q: Which value of energy does entry 3 give?
A: -2.71 eV per atom